4
Lattice="2.807 0.000 0.000 0.000 4.462 0.000 0.000 0.000 5.502" Properties=species:S:1:pos:R:3 comment="CdRe2Hg | Alexandria | SCAN | single point on PBEsol structure" spacegroup="No. 47" de_polymorph_mev_per_atom=225 final_energy_ev_per_cell=-236.96 e_form_ev_per_atom=0.9537 pbc="T T T"
Cd 0.000 0.000 0.000
Re 1.403 2.231 1.196
Re 1.403 2.231 4.306
Hg 0.000 0.000 2.751

=====

5
Lattice="4.859 0.000 0.000 0.000 4.859 0.000 0.000 0.000 4.783" Properties=species:S:1:pos:R:3 comment="Ta2CdReHg | Alexandria | SCAN | single point on PBEsol structure" spacegroup="No. 123" final_energy_ev_per_cell=-290.39 e_form_ev_per_atom=2.4902 pbc="T T T"
Ta 0.000 2.430 0.000
Ta 2.430 0.000 0.000
Cd 0.000 0.000 0.000
Re 0.000 0.000 2.392
Hg 2.430 2.430 2.392

=====

4
Lattice="3.075 0.000 0.000 0.000 4.005 0.000 0.000 0.000 5.916" Properties=species:S:1:pos:R:3 comment="CdHg2Rh | Alexandria | SCAN | single point on PBEsol structure" spacegroup="No. 47" final_energy_ev_per_cell=-200.00 e_form_ev_per_atom=0.1289 pbc="T T T"
Cd 0.000 0.000 0.000
Hg 1.538 2.002 1.561
Hg 1.538 2.002 4.355
Rh 0.000 0.000 2.958

=====

8
Lattice="2.977 0.000 0.000 0.000 4.525 0.000 0.000 0.000 12.040" Properties=species:S:1:pos:R:3 comment="CdHg2Rh | Alexandria | SCAN | single point on PBEsol structure" spacegroup="No. 44" final_energy_ev_per_cell=-401.00 e_form_ev_per_atom=0.0045 pbc="T T T"
Cd 0.000 0.000 0.000
Cd 1.489 2.262 6.020
Hg 0.000 0.000 7.418
Hg 0.000 2.262 9.800
Hg 1.489 0.000 3.780
Hg 1.489 2.262 1.398
Rh 0.000 2.262 3.729
Rh 1.489 0.000 9.749

=====

10
Lattice="3.960 0.000 0.000 0.000 3.960 0.000 0.000 0.000 12.348" Properties=species:S:1:pos:R:3 comment="CdHg2Rh2 | Alexandria | SCAN | single point on PBEsol structure" spacegroup="No. 139" final_energy_ev_per_cell=-464.70 e_form_ev_per_atom=0.3875 pbc="T T T"
Cd 0.000 0.000 0.000
Cd 1.980 1.980 6.174
Hg 0.000 1.980 3.087
Hg 0.000 1.980 9.261
Hg 1.980 0.000 3.087
Hg 1.980 0.000 9.261
Rh 0.000 0.000 4.959
Rh 0.000 0.000 7.390
Rh 1.980 1.980 1.215
Rh 1.980 1.980 11.133

=====

6
Lattice="3.063 0.000 0.000 0.000 3.835 0.000 0.000 0.000 8.849" Properties=species:S:1:pos:R:3 comment="CdHgRh | Alexandria | SCAN | single point on PBEsol structure" spacegroup="No. 44" final_energy_ev_per_cell=-264.39 e_form_ev_per_atom=0.0522 pbc="T T T"
Cd 0.000 0.000 0.000
Cd 1.531 1.917 4.425
Hg 0.000 0.000 6.017
Hg 1.531 1.917 1.592
Rh 0.000 0.000 3.028
Rh 1.531 1.917 7.453

=====

5
Lattice="4.830 0.000 0.000 0.000 4.830 0.000 0.000 0.000 5.093" Properties=species:S:1:pos:R:3 comment="Sc2CdHgRh | Alexandria | SCAN | single point on PBEsol structure" spacegroup="No. 123" final_energy_ev_per_cell=-162.33 e_form_ev_per_atom=-0.3014 pbc="T T T"
Sc 0.000 2.415 0.000
Sc 2.415 0.000 0.000
Cd 0.000 0.000 2.547
Hg 2.415 2.415 2.547
Rh 0.000 0.000 0.000

=====

5
Lattice="5.183 0.000 0.000 0.000 5.183 0.000 0.000 0.000 5.183" Properties=species:S:1:pos:R:3 comment="CdHg3Ru | Alexandria | SCAN | single point on PBEsol structure" spacegroup="No. 221" final_energy_ev_per_cell=-263.74 e_form_ev_per_atom=1.1993 pbc="T T T"
Cd 0.000 0.000 0.000
Hg 0.000 0.000 2.592
Hg 0.000 2.592 0.000
Hg 2.592 0.000 0.000
Ru 2.592 2.592 2.592